! Pm2HoRu | the Alexandria database | PBE-GGA | optimized geometry; values from VASP
&SYSTEM
  ibrav = 0, nat = 8, ntyp = 3
/
ATOMIC_SPECIES
Ru 101.07 Ru.upf
Pm 145.00 Pm.upf
Ho 164.93 Ho.upf
CELL_PARAMETERS angstrom
4.0075 0.0001 0.0000
-2.0031 6.0035 0.0000
0.0000 0.0000 9.2888
ATOMIC_POSITIONS crystal
Ru 0.2594 0.5188 0.2500
Ru 0.7406 0.4812 0.7500
Pm 0.3591 0.7182 0.9320
Pm 0.3591 0.7182 0.5680
Pm 0.6409 0.2818 0.4320
Pm 0.6409 0.2818 0.0680
Ho 0.9196 0.8393 0.2500
Ho 0.0804 0.1607 0.7500
! DOS(E_F) (states/eV/f.u.): 2.96
! Space-group type: No. 63
! Spin magnetization (μB/atom): 0.00
! E above lowest polymorph (meV/atom): 20
! ΔE_f (eV per atom): -0.228